# 1
# Ba5Ru2ClO9 (PBEsol, relaxed)
# total moment: 5.07 μB/f.u.
# uncorrected formation energy: -2086.6 meV per atom
# mass density: 6.2 g cm⁻³
data_Ba5Ru2ClO9
_space_group_name_H-M_alt 'C m c 21'
_space_group_IT_number 36
_cell_length_a 5.982
_cell_length_b 10.647
_cell_length_c 17.999
_cell_angle_alpha 90.00
_cell_angle_beta 90.00
_cell_angle_gamma 90.00
loop_
_space_group_symop_operation_xyz
'x,y,z'
'-x,-y,z+1/2'
'-x,y,z'
'x,-y,z+1/2'
'x+1/2,y+1/2,z'
'-x+1/2,-y+1/2,z+1/2'
'-x+1/2,y+1/2,z'
'x+1/2,-y+1/2,z+1/2'
loop_
_atom_site_label
_atom_site_type_symbol
_atom_site_fract_x
_atom_site_fract_y
_atom_site_fract_z
_atom_site_occupancy
Ba1 Ba 0.000 0.008 0.000 1
Ba2 Ba 0.000 0.008 0.304 1
Ba3 Ba 0.000 0.324 0.131 1
Ba4 Ba 0.000 0.328 0.902 1
Ba5 Ba 0.000 0.350 0.672 1
Ru1 Ru 0.000 0.322 0.327 1
Ru2 Ru 0.000 0.343 0.477 1
Cl1 Cl 0.000 0.058 0.652 1
O1 O 0.000 0.185 0.408 1
O2 O 0.000 0.466 0.263 1
O3 O 0.000 0.496 0.029 1
O4 O 0.226 0.233 0.271 1
O5 O 0.227 0.405 0.399 1
O6 O 0.238 0.283 0.539 1

# 2
# CoBiO4 (PBEsol, relaxed)
# total moment: 0.00 μB/f.u.
# uncorrected formation energy: -907.7 meV per atom
# mass density: 6.7 g cm⁻³
data_CoBiO4
_space_group_name_H-M_alt 'I m m a'
_space_group_IT_number 74
_space_group_name_Hall '-I 2b 2'
_cell_length_a 5.594
_cell_length_b 6.847
_cell_length_c 8.583
_cell_angle_alpha 90.00
_cell_angle_beta 90.00
_cell_angle_gamma 90.00
loop_
_atom_site_label
_atom_site_type_symbol
_atom_site_fract_x
_atom_site_fract_y
_atom_site_fract_z
_atom_site_occupancy
Co1 Co 0.250 0.250 0.250 1
Bi1 Bi 0.000 0.000 0.000 1
O1 O 0.000 0.068 0.250 1
O2 O 0.247 0.250 0.468 1

# 3
# MgCd2Ag2 (PBEsol, relaxed)
# DFT total energy: -2.228 eV/atom
# total moment: 0.00 μB/f.u.
# mass density: 8.0 g cm⁻³
data_MgCd2Ag2
_space_group_name_H-M_alt 'P 4/m b m'
_space_group_IT_number 127
_space_group_name_Hall '-P 4 2ab'
_cell_length_a 7.611
_cell_length_b 7.611
_cell_length_c 3.346
_cell_angle_alpha 90.00
_cell_angle_beta 90.00
_cell_angle_gamma 90.00
loop_
_atom_site_label
_atom_site_type_symbol
_atom_site_fract_x
_atom_site_fract_y
_atom_site_fract_z
_atom_site_occupancy
Mg1 Mg 0.000 0.000 0.000 1
Cd1 Cd 0.163 0.337 0.500 1
Ag1 Ag 0.136 0.636 0.000 1

Q: The highest total moment belongs to which entry?
A: Ba5Ru2ClO9

Please write out number 1 again, unchanged.
# Ba5Ru2ClO9 (PBEsol, relaxed)
# total moment: 5.07 μB/f.u.
# uncorrected formation energy: -2086.6 meV per atom
# mass density: 6.2 g cm⁻³
data_Ba5Ru2ClO9
_space_group_name_H-M_alt 'C m c 21'
_space_group_IT_number 36
_cell_length_a 5.982
_cell_length_b 10.647
_cell_length_c 17.999
_cell_angle_alpha 90.00
_cell_angle_beta 90.00
_cell_angle_gamma 90.00
loop_
_space_group_symop_operation_xyz
'x,y,z'
'-x,-y,z+1/2'
'-x,y,z'
'x,-y,z+1/2'
'x+1/2,y+1/2,z'
'-x+1/2,-y+1/2,z+1/2'
'-x+1/2,y+1/2,z'
'x+1/2,-y+1/2,z+1/2'
loop_
_atom_site_label
_atom_site_type_symbol
_atom_site_fract_x
_atom_site_fract_y
_atom_site_fract_z
_atom_site_occupancy
Ba1 Ba 0.000 0.008 0.000 1
Ba2 Ba 0.000 0.008 0.304 1
Ba3 Ba 0.000 0.324 0.131 1
Ba4 Ba 0.000 0.328 0.902 1
Ba5 Ba 0.000 0.350 0.672 1
Ru1 Ru 0.000 0.322 0.327 1
Ru2 Ru 0.000 0.343 0.477 1
Cl1 Cl 0.000 0.058 0.652 1
O1 O 0.000 0.185 0.408 1
O2 O 0.000 0.466 0.263 1
O3 O 0.000 0.496 0.029 1
O4 O 0.226 0.233 0.271 1
O5 O 0.227 0.405 0.399 1
O6 O 0.238 0.283 0.539 1

Q: Which of these has the lowest mass density?
A: Ba5Ru2ClO9